CrCdF6 (PBE+U, optimized geometry); uncorrected energy = -0.1749 hartree per atom
1.0
5.269 0.000 0.000
2.634 4.575 0.000
2.631 1.519 4.782
Cr Cd F
1 1 6
Cartesian
0.000 0.000 0.000
5.267 3.047 2.391
3.437 2.800 3.698
4.146 4.517 1.085
5.972 4.755 3.700
4.562 1.339 1.083
6.389 1.577 3.697
7.098 3.294 1.085

MgNpFe2O6 (PBE+U, optimized geometry); uncorrected energy = -0.2791 hartree per atom
1.0
5.287 0.000 0.000
-2.634 4.592 0.000
-2.596 -1.556 4.840
Mg Np Fe O
1 1 2 6
Cartesian
0.000 0.000 0.000
-2.613 1.509 2.566
0.036 -0.020 2.849
0.014 3.047 0.643
-1.849 3.148 1.478
-3.411 2.930 3.860
-0.986 1.506 3.889
0.886 1.349 1.500
1.874 0.083 3.865
3.712 0.037 1.498